No. 1
Density functional theory data (PBE) for a relaxed TeBr2Cl2 crystal.

Calculated values
Energy relative to the elements, uncorrected ... 1.77 eV/f.u.
Theoretical density ... 3.3 g/cm³
Size of the total moment ... 3.877 μB per formula unit
DOS at the Fermi energy ... 8.090 states/eV per cell

CIF file:
```
data_TeBr2Cl2
_space_group_name_H-M_alt 'I 4/m m m'
_space_group_IT_number 139
_space_group_name_Hall '-I 4 2'
_cell_length_a 6.468
_cell_length_b 6.468
_cell_length_c 8.652
_cell_angle_alpha 90.00
_cell_angle_beta 90.00
_cell_angle_gamma 90.00
loop_
_atom_site_label
_atom_site_fract_x
_atom_site_fract_y
_atom_site_fract_z
Te1 0.000 0.000 0.000
Br1 0.000 0.500 0.250
Cl1 0.000 0.000 0.290
```

No. 2
Density functional theory data (PBE) for a relaxed La2DySb crystal.

Calculated values
Relative energy among the computed polymorphs ... 0.038 eV per atom
Energy relative to the elements, uncorrected ... -2.11 eV/f.u.
Theoretical density ... 7.2 g/cm³
Size of the total moment ... 0.000 μB per formula unit
DOS at the Fermi energy ... 5.739 states/eV per cell

CIF file:
```
data_La2DySb
_space_group_name_H-M_alt 'P 4/m m m'
_space_group_IT_number 123
_space_group_name_Hall '-P 4 2'
_cell_length_a 4.279
_cell_length_b 4.279
_cell_length_c 7.054
_cell_angle_alpha 90.00
_cell_angle_beta 90.00
_cell_angle_gamma 90.00
loop_
_atom_site_label
_atom_site_fract_x
_atom_site_fract_y
_atom_site_fract_z
La1 0.000 0.000 0.224
Dy1 0.500 0.500 0.500
Sb1 0.500 0.500 0.000
```

No. 3
Density functional theory data (PBE) for a relaxed CaTcPb2 crystal.

Calculated values
Relative energy among the computed polymorphs ... 0.163 eV per atom
Theoretical density ... 9.3 g/cm³
Size of the total moment ... 1.424 μB per formula unit
DOS at the Fermi energy ... 3.075 states/eV per cell
Energy of formation ... 0.286 eV per atom

CIF file:
```
data_CaTcPb2
_space_group_name_H-M_alt 'P 1 2/m 1'
_space_group_IT_number 10
_space_group_name_Hall '-P 2y'
_cell_length_a 3.367
_cell_length_b 4.693
_cell_length_c 6.354
_cell_angle_alpha 90.00
_cell_angle_beta 100.90
_cell_angle_gamma 90.00
loop_
_atom_site_label
_atom_site_fract_x
_atom_site_fract_y
_atom_site_fract_z
Ca1 0.000 0.000 0.000
Tc1 0.500 0.000 0.500
Pb1 0.346 0.500 0.729
```

No. 4
Density functional theory data (PBE) for a relaxed La2BeAuC crystal.

Calculated values
Theoretical density ... 7.9 g/cm³
Size of the total moment ... 0.000 μB per formula unit
DOS at the Fermi energy ... 3.712 states/eV per cell
Energy of formation ... -0.351 eV per atom

CIF file:
```
data_La2BeAuC
_space_group_name_H-M_alt 'P 4/m m m'
_space_group_IT_number 123
_space_group_name_Hall '-P 4 2'
_cell_length_a 5.442
_cell_length_b 5.442
_cell_length_c 3.500
_cell_angle_alpha 90.00
_cell_angle_beta 90.00
_cell_angle_gamma 90.00
loop_
_atom_site_label
_atom_site_fract_x
_atom_site_fract_y
_atom_site_fract_z
La1 0.000 0.500 0.000
Be1 0.000 0.000 0.500
Au1 0.500 0.500 0.500
C1 0.000 0.000 0.000
```

No. 5
Density functional theory data (PBE) for a relaxed AgBPt3 crystal.

Calculated values
Relative energy among the computed polymorphs ... 0.426 eV per atom
Theoretical density ... 16.2 g/cm³
Size of the total moment ... 0.000 μB per formula unit
DOS at the Fermi energy ... 3.790 states/eV per cell
Energy of formation ... 0.201 eV per atom

CIF file:
```
data_AgBPt3
_space_group_name_H-M_alt 'P 63/m m c'
_space_group_IT_number 194
_space_group_name_Hall '-P 6c 2c'
_cell_length_a 4.4328
_cell_length_b 4.4328
_cell_length_c 8.5065
_cell_angle_alpha 90.00
_cell_angle_beta 90.00
_cell_angle_gamma 120.00
loop_
_atom_site_label
_atom_site_fract_x
_atom_site_fract_y
_atom_site_fract_z
Ag1 0.3333 0.6667 0.2500
B1 0.0000 0.0000 0.0000
Pt1 0.0000 0.0000 0.2500
Pt2 0.3333 0.6667 0.5735
```

No. 6
Density functional theory data (PBE) for a relaxed K2SbN crystal.

Calculated values
Relative energy among the computed polymorphs ... 0.680 eV per atom
Energy relative to the elements, uncorrected ... 3.70 eV/f.u.
Theoretical density ... 2.6 g/cm³
Size of the total moment ... 2.000 μB per formula unit
DOS at the Fermi energy ... 36.247 states/eV per cell

CIF file:
```
data_K2SbN
_space_group_name_H-M_alt 'F m -3 m'
_space_group_IT_number 225
_space_group_name_Hall '-F 4 2 3'
_cell_length_a 8.157
_cell_length_b 8.157
_cell_length_c 8.157
_cell_angle_alpha 90.00
_cell_angle_beta 90.00
_cell_angle_gamma 90.00
loop_
_atom_site_label
_atom_site_fract_x
_atom_site_fract_y
_atom_site_fract_z
K1 0.250 0.250 0.250
Sb1 0.000 0.000 0.000
N1 0.000 0.000 0.500
```